[1]
LiLa2PbF: optimized geometry, GGA-PBE.

Values from the calculation:
Its space-group type is P4/mmm. The calculation puts the formation energy without anion corrections at -1.326 eV per atom.

Lattice parameters (Å, degrees): 5.263 5.263 4.377 90.00 90.00 90.00
Fractional coordinates of all 5 atoms:
F (0.000, 0.000, 0.000)
Pb (0.500, 0.500, 0.500)
La (0.000, 0.500, 0.000)
La (0.500, 0.000, 0.000)
Li (0.000, 0.000, 0.500)


[2]
InMoOs3: optimized geometry, GGA-PBE.

Values from the calculation:
Its space-group type is Pm-3m. As for the distance to the lowest polymorph of the same formula: 0.000 eV per atom.

Lattice parameters (Å, degrees): 4.713 4.713 4.713 90.00 90.00 90.00
Fractional coordinates of all 5 atoms:
In (0.500, 0.500, 0.500)
Mo (0.000, 0.000, 0.000)
Os (0.500, 0.000, 0.000)
Os (0.000, 0.500, 0.000)
Os (0.000, 0.000, 0.500)


[3]
BaScTl2: optimized geometry, GGA-PBE.

Values from the calculation:
Its space-group type is C2/m. The value obtained for the total energy is -3.43 eV/atom.

Lattice parameters (Å, degrees): 5.223 5.223 7.323 78.58 78.58 43.78
Fractional coordinates of all 4 atoms:
Tl (0.990, 0.990, 0.069)
Tl (0.510, 0.510, 0.431)
Sc (0.250, 0.250, 0.250)
Ba (0.750, 0.750, 0.750)


[4]
CoNiC: optimized geometry, GGA-PBE.

Values from the calculation:
Its space-group type is R3m. As for the distance to the lowest polymorph of the same formula: 0.064 eV per atom.

Lattice parameters (Å, degrees): 2.634 2.634 13.624 90.00 90.00 120.00
Last column: magnetic moment on the atom in μB.
Fractional coordinates of all 9 atoms:
Ni (0.000, 0.000, 0.852)  0.01
Ni (0.333, 0.667, 0.519)  0.01
Ni (0.667, 0.333, 0.185)  0.01
Co (0.667, 0.333, 0.363)  0.58
Co (0.333, 0.667, 0.696)  0.58
Co (0.000, 0.000, 0.029)  0.58
C (0.333, 0.667, 0.277)  -0.01
C (0.667, 0.333, 0.943)  -0.01
C (0.000, 0.000, 0.610)  -0.01


[5]
ZrWBr: optimized geometry, GGA-PBE.

Values from the calculation:
Its space-group type is I4mm. As for the distance to the lowest polymorph of the same formula: 0.095 eV per atom. The calculation puts the formation energy without anion corrections at 0.480 eV per atom.

Lattice parameters (Å, degrees): 8.057 8.057 8.057 158.48 158.48 30.62
Fractional coordinates of all 3 atoms:
Zr (0.663, 0.663, 0.000)
Br (0.038, 0.038, 0.000)
W (0.299, 0.299, 0.000)


[6]
AcPr3Nd: optimized geometry, GGA-PBE.

Values from the calculation:
Its space-group type is P2_1/c. As for the distance to the lowest polymorph of the same formula: 0.000 eV per atom.

Lattice parameters (Å, degrees): 6.406 7.122 16.672 90.00 88.31 90.00
Fractional coordinates of all 20 atoms:
Nd (0.291, 0.869, 0.754)
Nd (0.209, 0.369, 0.746)
Nd (0.709, 0.131, 0.246)
Nd (0.791, 0.631, 0.254)
Pr (0.165, 0.665, 0.553)
Pr (0.335, 0.165, 0.947)
Pr (0.665, 0.835, 0.053)
Pr (0.186, 0.662, 0.952)
Pr (0.814, 0.338, 0.048)
Pr (0.314, 0.162, 0.548)
Pr (0.843, 0.054, 0.869)
Pr (0.343, 0.446, 0.369)
Pr (0.657, 0.554, 0.631)
Pr (0.686, 0.838, 0.452)
Pr (0.157, 0.946, 0.131)
Pr (0.835, 0.335, 0.447)
Ac (0.204, 0.938, 0.345)
Ac (0.296, 0.438, 0.155)
Ac (0.704, 0.562, 0.845)
Ac (0.796, 0.062, 0.655)


[7]
La3YC8: optimized geometry, GGA-PBE.

Values from the calculation:
Its space-group type is Fmm2. The value obtained for the total energy is -7.80 eV/atom.

Lattice parameters (Å, degrees): 6.533 6.528 6.533 68.92 73.68 111.08
Fractional coordinates of all 12 atoms:
C (0.139, 0.524, 0.861)
C (0.385, 0.000, 0.139)
C (0.861, 0.000, 0.616)
C (0.056, 0.000, 0.625)
C (0.375, 0.000, 0.944)
C (0.625, 0.681, 0.375)
C (0.615, 0.476, 0.385)
C (0.944, 0.319, 0.056)
La (0.751, 0.500, 0.749)
La (0.500, 0.000, 0.500)
La (0.251, 0.500, 0.249)
Y (0.000, 0.000, 0.000)


[8]
EuThH2: optimized geometry, GGA-PBE.

Values from the calculation:
Its space-group type is R-3m. The value obtained for the total energy is -6.40 eV/atom.

Lattice parameters (Å, degrees): 3.633 3.633 6.424 73.58 73.58 60.00
Last column: magnetic moment on the atom in μB.
Fractional coordinates of all 4 atoms:
H (0.741, 0.741, 0.776)  0.01
H (0.259, 0.259, 0.224)  0.01
Th (0.000, 0.000, 0.000)  -0.03
Eu (0.500, 0.500, 0.500)  -6.87